*i*
Ho3TmSb2: relaxed, GGA-PBE.

Cell lengths 4.446, 4.446, 8.398 Å; angles 90.00, 90.00, 90.00 degrees
Element x y z (fractional)
Ho 0.500 0.000 0.349
Ho 0.000 0.500 0.651
Ho 0.000 0.000 0.000
Tm 0.500 0.500 0.000
Sb 0.500 0.000 0.719
Sb 0.000 0.500 0.281

Calculated values
The density of states at the Fermi level is 4.51 states/eV/f.u. The symmetry is P-4m2, No. 115.

*ii*
Ho3TmSb2: relaxed, GGA-PBE.

Cell lengths 4.264, 10.432, 9.712 Å; angles 125.48, 90.00, 101.79 degrees
Element x y z (fractional)
Ho 0.688 0.376 0.483
Ho 0.356 0.711 0.188
Ho 0.945 0.890 0.565
Ho 0.644 0.289 0.812
Ho 0.312 0.624 0.517
Ho 0.055 0.110 0.435
Tm 0.891 0.782 0.893
Tm 0.109 0.218 0.107
Sb 0.748 0.497 0.220
Sb 0.252 0.503 0.780
Sb 0.507 0.015 0.170
Sb 0.493 0.985 0.830

Calculated values
The density of states at the Fermi level is 6.38 states/eV/f.u. The symmetry is C2/m, No. 12.

Most stable = *i*

*i*
HoTmSb2: relaxed, GGA-PBE.

Cell lengths 4.353, 4.353, 7.537 Å; angles 73.22, 73.22, 60.00 degrees
Element x y z (fractional)
Tm 0.500 0.500 0.500
Ho 0.000 0.000 0.000
Sb 0.249 0.249 0.252
Sb 0.751 0.751 0.748

Calculated values
The density of states at the Fermi level is 0.69 states/eV/f.u. The symmetry is R-3m, No. 166.

*ii*
HoTmSb2: relaxed, GGA-PBE.

Cell lengths 4.337, 4.337, 14.368 Å; angles 90.00, 90.00, 120.00 degrees
Element x y z (fractional)
Sb 0.667 0.333 0.878
Sb 0.667 0.333 0.622
Sb 0.333 0.667 0.378
Sb 0.333 0.667 0.122
Tm 0.000 0.000 0.000
Tm 0.000 0.000 0.500
Ho 0.667 0.333 0.250
Ho 0.333 0.667 0.750

Calculated values
The density of states at the Fermi level is 0.72 states/eV/f.u. The symmetry is P6_3/mmc, No. 194.

*iii*
HoTmSb2: relaxed, GGA-PBE.

Cell lengths 4.332, 4.333, 7.389 Å; angles 90.01, 90.00, 120.00 degrees
Element x y z (fractional)
Sb 0.333 0.167 0.248
Sb 0.667 0.833 0.752
Ho 0.000 0.500 0.500
Tm 0.000 0.500 0.000

Calculated values
The density of states at the Fermi level is 0.73 states/eV/f.u. The symmetry is P-3m1, No. 164.

Most stable = *i*

*i*
HoUSb2: relaxed, GGA-PBE.

Cell lengths 3.791, 5.266, 5.266 Å; angles 90.00, 90.00, 90.00 degrees
Element x y z (fractional)
U 0.500 0.500 0.500
Sb 0.000 0.000 0.500
Sb 0.000 0.500 0.000
Ho 0.500 0.000 0.000

Calculated values
The density of states at the Fermi level is 5.53 states/eV/f.u. The symmetry is P4/mmm, No. 123.

*ii*
HoUSb2: relaxed, GGA-PBE.

Cell lengths 4.068, 4.068, 10.175 Å; angles 78.47, 78.47, 60.00 degrees
Element x y z (fractional)
Ho 0.000 0.000 0.000
Sb 0.899 0.899 0.302
Sb 0.101 0.101 0.698
U 0.500 0.500 0.500

Calculated values
The density of states at the Fermi level is 9.26 states/eV/f.u. The symmetry is R-3m, No. 166.

Most stable = *i*